! SnHgPPt2 | Alexandria via LeMat-Bulk | PBE | optimized geometry; values from VASP
&SYSTEM
  ibrav = 0, nat = 5, ntyp = 4
/
ATOMIC_SPECIES
Sn 118.71 Sn.upf
Hg 200.59 Hg.upf
P 30.97 P.upf
Pt 195.08 Pt.upf
CELL_PARAMETERS angstrom
5.0070 0.0000 0.0000
0.0000 5.0070 0.0000
0.0000 0.0000 5.3479
ATOMIC_POSITIONS angstrom
Sn 0.0000 0.0000 0.0000
Hg 0.0000 0.0000 2.6740
P 2.5035 2.5035 2.6740
Pt 0.0000 2.5035 0.0000
Pt 2.5035 0.0000 0.0000
! Size of the total moment: 0.214 μB per atom
! Uncorrected energy: -3.196 eV/atom
! Formation energy: 561 kJ/mol of formula units